Density functional theory data (GGA-PBE) for crystalline LaHf2Pb2 at its relaxed geometry.

uncorrected energy	-6.495	eV per atom
density	11.53	Mg/m³
crystal system	tetragonal
polymorph energy (0 for the lowest one)	104	meV per atom
calculated formation energy	-0.045	eV/atom

a = 8.874 Å, b = 8.874 Å, c = 3.331 Å
α = 90.00°, β = 90.00°, γ = 90.00°
Atoms (fractional coordinates):
La1 0.000 0.000 0.000
La2 0.500 0.500 0.000
Hf1 0.134 0.366 0.500
Hf2 0.366 0.866 0.500
Hf3 0.634 0.134 0.500
Hf4 0.866 0.634 0.500
Pb1 0.157 0.657 0.000
Pb2 0.343 0.157 0.000
Pb3 0.657 0.843 0.000
Pb4 0.843 0.343 0.000

=====

Density functional theory data (GGA-PBE) for crystalline PuUCuPd at its relaxed geometry.

uncorrected energy	-8.924	eV per atom
density	14.83	Mg/m³
crystal system	cubic
calculated formation energy	-0.197	eV/atom

a = 4.692 Å, b = 4.692 Å, c = 4.692 Å
α = 60.00°, β = 60.00°, γ = 60.00°
Atoms (fractional coordinates):
Pu1 0.000 0.000 0.000
U1 0.250 0.250 0.250
Cu1 0.750 0.750 0.750
Pd1 0.500 0.500 0.500

=====

Density functional theory data (GGA-PBE) for crystalline CaHo6Tm12 at its relaxed geometry.

uncorrected energy	-3.934	eV per atom
density	7.88	Mg/m³
crystal system	trigonal
calculated formation energy	0.441	eV/atom

a = 9.215 Å, b = 9.215 Å, c = 9.215 Å
α = 107.41°, β = 107.41°, γ = 107.41°
Atoms (fractional coordinates):
Ca1 0.000 0.000 0.000
Ho1 0.278 0.688 0.688
Ho2 0.312 0.312 0.722
Ho3 0.312 0.722 0.312
Ho4 0.688 0.278 0.688
Ho5 0.688 0.688 0.278
Ho6 0.722 0.312 0.312
Tm1 0.112 0.500 0.888
Tm2 0.112 0.888 0.500
Tm3 0.128 0.353 0.353
Tm4 0.353 0.128 0.353
Tm5 0.353 0.353 0.128
Tm6 0.500 0.112 0.888
Tm7 0.500 0.888 0.112
Tm8 0.647 0.647 0.872
Tm9 0.647 0.872 0.647
Tm10 0.872 0.647 0.647
Tm11 0.888 0.112 0.500
Tm12 0.888 0.500 0.112